Entry 1:
Crystalline BaLaP2 at its relaxed geometry. Source: the Alexandria database, functional PBE.

Energy relative to the lowest polymorph listed for this composition = 361.6 meV per atom
E_form = -732 meV/atom

Unit cell a=4.3921 b=4.3921 c=11.3554 alpha=90.00 beta=90.00 gamma=90.00
Closest atoms and distances in Å follow each position.
Space group I-4m2 (No. 119)
Inequivalent atoms, fractional coordinates:
1 Ba 0.0000 0.0000 0.0000  4 P 3.11
2 La 0.0000 0.5000 0.7500  4 P 3.11
3 P 0.0000 0.0000 0.5000  4 Ba 3.11
4 P 0.0000 0.5000 0.2500  4 La 3.11

***

Entry 2:
Crystalline HoEr8Th2 at its relaxed geometry. Source: the Alexandria database, functional PBE.

Energy relative to the lowest polymorph listed for this composition = 14.7 meV per atom
E_form = 202 meV/atom

Unit cell a=8.9370 b=15.8817 c=5.9062 alpha=90.00 beta=123.45 gamma=90.00
Closest atoms and distances in Å follow each position.
Space group C2/m (No. 12)
Inequivalent atoms, fractional coordinates:
1 Ho 0.0000 0.0000 0.0000  4 Er 3.30-3.32
2 Er 0.0000 0.2089 0.0000  1 Ho 3.32, 2 Th 3.33, 6 Er 3.52-3.70
3 Er 0.0741 0.5000 0.7960  4 Er 2.98-3.33, 1 Ho 3.30
4 Er 0.2169 0.1169 0.6749  4 Er 3.20-3.52, 2 Th 3.41-3.44
5 Th 0.0000 0.3062 0.5000  8 Er 3.33-3.44

***

Entry 3:
Crystalline BP2Br at its relaxed geometry. Source: the Alexandria database, functional PBE.

Formation energy from raw total energies = 1.636 eV/atom
Energy relative to the lowest polymorph listed for this composition = 1118.7 meV per atom

Unit cell a=6.2660 b=6.2660 c=6.2660 alpha=90.00 beta=90.00 gamma=90.00
Closest atoms and distances in Å follow each position.
Space group Fm-3m (No. 225)
Inequivalent atoms, fractional coordinates:
1 B 0.0000 0.0000 0.0000  8 P 2.71
2 P 0.2500 0.2500 0.2500  4 Br 2.71, 4 B 2.71
3 Br 0.0000 0.0000 0.5000  8 P 2.71

***

Entry 4:
Crystalline RbMnBi2Se4 at its relaxed geometry. Source: the Alexandria database, functional PBE.

Formation energy from raw total energies = -0.510 eV/atom

Unit cell a=4.2955 b=15.0685 c=15.2771 alpha=90.00 beta=90.00 gamma=90.00
Closest atoms and distances in Å follow each position.
Space group Cmcm (No. 63)
Inequivalent atoms, fractional coordinates:
1 Rb 0.0000 0.1179 0.2500  6 Se 3.49-3.62
2 Mn 0.0000 0.1527 0.7500  4 Se 2.53-2.54
3 Bi 0.0000 0.3740 0.0583  6 Se 2.95-3.23
4 Se 0.0000 0.0000 0.0000  4 Bi 3.00
5 Se 0.0000 0.2480 0.6130  1 Mn 2.54
6 Se 0.0000 0.4356 0.2500  2 Mn 2.53

***

Entry 5:
Crystalline InGa2Ag4 at its relaxed geometry. Source: the Alexandria database, functional PBE.

Energy relative to the lowest polymorph listed for this composition = 3.8 meV per atom
E_form = 15 meV/atom

Unit cell a=8.9993 b=9.6704 c=3.0988 alpha=90.00 beta=90.00 gamma=90.00
Closest atoms and distances in Å follow each position.
Space group Cmmm (No. 65)
Inequivalent atoms, fractional coordinates:
1 In 0.0000 0.0000 0.0000  8 Ag 2.98-3.30, 2 In 3.10, 4 Ga 3.33
2 Ga 0.0000 0.3043 0.5000  6 Ag 2.72-2.78
3 Ag 0.2169 0.5000 0.5000  2 Ga 2.72, 4 Ag 2.89, 2 In 2.98
4 Ag 0.2500 0.2500 0.0000  4 Ga 2.78, 6 Ag 2.89-3.10

***

Entry 6:
Crystalline TaTiFe2 at its relaxed geometry. Source: the Alexandria database, functional PBE.

Energy relative to the lowest polymorph listed for this composition = 636.5 meV per atom
E_form = 359 meV/atom

Unit cell a=6.6004 b=6.6004 c=5.3397 alpha=90.00 beta=90.00 gamma=90.00
Closest atoms and distances in Å follow each position.
Space group I-42d (No. 122)
Inequivalent atoms, fractional coordinates:
1 Ta 0.0000 0.0000 0.0000  4 Fe 2.46, 2 Ti 2.67
2 Ti 0.0000 0.0000 0.5000  4 Fe 2.40, 2 Ta 2.67
3 Fe 0.2433 0.2500 0.6250  2 Ti 2.40, 2 Ta 2.46, 2 Fe 2.67